The following is a PBE-GGA calculation of an optimized crystal structure of CeDyTcRu, from the Alexandria database.

extended XYZ file:
```
4
Lattice="-4.076 -0.978 -2.437 -3.755 -2.050 2.281 -4.016 2.578 0.859" Properties=species:S:1:pos:R:3 pbc="T T T"
Ru -8.885 -0.338 0.527
Tc -2.962 -0.113 0.176
Ce 0.000 0.000 0.000
Dy -5.923 -0.225 0.352
```

ΔE_f, meV per atom: -163
Energy, eV/atom: -7.7075
Density, Mg/m³: 10.34

The following is a PBE-GGA calculation of an optimized crystal structure of RbTl2AsO4, from the Alexandria database.

extended XYZ file:
```
16
Lattice="-2.731 -4.345 -4.774 -1.351 -6.506 1.549 -12.228 0.898 1.033" Properties=species:S:1:pos:R:3 pbc="T T T"
O -10.605 -8.155 -2.981
O -14.543 -7.861 -1.501
O -12.369 -1.654 -0.170
O -7.065 -5.569 -0.147
O -8.696 -3.511 -1.087
O -3.124 -6.999 -0.594
O -2.584 -3.392 -2.119
O -6.254 -2.671 -0.170
Tl -7.491 -2.999 -3.275
Tl -4.077 -7.408 -3.788
Tl -13.598 -4.717 -0.791
Tl -7.467 -0.448 -0.466
Rb 0.000 0.000 0.000
Rb -8.838 -6.063 -2.290
As -1.365 -2.172 -2.387
As -7.472 -3.890 0.097
```

Energy, eV/atom: -4.7891
Formation energy from raw total energies, meV/atom: -1016
Density, Mg/m³: 4.35

The following is a PBE-GGA calculation of an optimized crystal structure of LiAlRu, from the Alexandria database.

extended XYZ file:
```
3
Lattice="-3.496 0.321 -2.909 0.942 -0.644 -4.414 0.025 -1.808 4.186" Properties=species:S:1:pos:R:3 pbc="T T T"
Li -0.850 -0.108 -2.437
Ru -1.688 -0.214 -4.840
Al -0.016 -0.002 -0.047
```

ΔE_f, meV per atom: -202
Energy, eV/atom: -5.1792
Density, Mg/m³: 5.48

Q: What is the density in the second record?
A: 4.35 Mg/m³

Q: energy of number 1 (CeDyTcRu)?
A: -7.7075 eV/atom